Here is Na4Ti5O12 at its PBEsol-relaxed geometry from the Alexandria database. Energies are from SCAN.

Values from the calculation:
- E_tot: -468.426 eV for the cell shown
- Energy above the lowest structure with this stoichiometry: 0.0180 eV per atom
- Spin magnetization: 0.000 μB/atom
- DOS(E_F): 0.000 states/eV per atom
- Symmetry: No. 2
- Formation energy from raw total energies: -2.973 eV per atom

Unit cell a=5.8874 b=6.3648 c=13.2488 alpha=95.77 beta=96.37 gamma=90.02
With the nearest neighbours (Å) after each atom.
Sites, in units of the cell vectors:
Na  0.8438  0.5892  0.3751  6 O 2.32-2.49
Na  0.1562  0.4108  0.6249  6 O 2.32-2.49
Na  0.6544  0.3975  0.6129  6 O 2.37-2.52
Na  0.7009  0.6695  0.8022  5 O 2.28-2.41
Na  0.7800  0.4102  0.1200  5 O 2.36-2.40
Na  0.2991  0.3305  0.1978  5 O 2.28-2.41
Na  0.3456  0.6025  0.3871  6 O 2.37-2.52
Na  0.2200  0.5898  0.8800  5 O 2.36-2.40
O  0.5581  0.6006  0.2399  1 Ti 1.72
O  0.3982  0.7101  0.5893  2 Ti 1.91-1.92
O  0.0225  0.1227  0.0859  2 Ti 1.88-2.07
O  0.8174  0.9904  0.2698  3 Ti 1.92-2.01
O  0.1088  0.8869  0.4362  3 Ti 2.00-2.04
O  0.8912  0.1131  0.5638  3 Ti 2.00-2.04
O  0.1034  0.2899  0.4088  2 Ti 1.90-1.91
O  0.5204  0.1228  0.0858  2 Ti 1.88-2.07
O  0.4419  0.3994  0.7601  1 Ti 1.72
O  0.1826  0.0096  0.7302  3 Ti 1.92-2.01
O  0.2724  0.7747  0.0895  3 Ti 1.98
O  0.3911  0.1147  0.5646  3 Ti 1.96-2.05
O  0.6825  0.0041  0.7308  3 Ti 1.97-2.01
O  0.2273  0.2301  0.9088  3 Ti 1.96-1.98
O  0.8966  0.7101  0.5912  2 Ti 1.90-1.91
O  0.7727  0.7699  0.0912  3 Ti 1.96-1.98
O  0.0616  0.6009  0.2399  1 Ti 1.72
O  0.9775  0.8773  0.9141  2 Ti 1.88-2.07
O  0.4796  0.8772  0.9142  2 Ti 1.88-2.07
O  0.9384  0.3991  0.7601  1 Ti 1.72
O  0.7276  0.2253  0.9105  3 Ti 1.98
O  0.3175  0.9959  0.2692  3 Ti 1.97-2.01
O  0.6018  0.2899  0.4107  2 Ti 1.91-1.92
O  0.6089  0.8853  0.4354  3 Ti 1.96-2.05
Ti  0.9513  0.1600  0.8111  1 O 1.72
Ti  0.3528  0.1007  0.4155  6 O 1.90-2.05
Ti  0.7481  0.9807  0.9928  6 O 1.88-2.07
Ti  0.5457  0.8397  0.1890  1 O 1.72
Ti  0.1459  0.9010  0.5884  6 O 1.91-2.05
Ti  0.6472  0.8993  0.5845  6 O 1.90-2.05
Ti  0.4543  0.1603  0.8110  1 O 1.72
Ti  0.8541  0.0990  0.4116  6 O 1.91-2.05
Ti  0.0487  0.8400  0.1889  1 O 1.72
Ti  0.2519  0.0193  0.0072  6 O 1.88-2.07

---

Here is Na4Ti5O12 at its PBEsol-relaxed geometry from the Alexandria database. Energies are from SCAN.

Values from the calculation:
- E_tot: -234.591 eV for the cell shown
- Energy above the lowest structure with this stoichiometry: 0.0000 eV per atom
- Spin magnetization: 0.000 μB/atom
- DOS(E_F): 0.000 states/eV per atom
- Symmetry: No. 147
- Formation energy from raw total energies: -2.991 eV per atom

Unit cell a=5.3183 b=5.3183 c=9.5375 alpha=90.00 beta=90.00 gamma=120.00
With the nearest neighbours (Å) after each atom.
Sites, in units of the cell vectors:
O  0.9005  0.2324  0.1213  2 Ti 1.83-1.95
O  0.9838  0.5674  0.3774  2 Ti 1.89-2.08
O  0.5674  0.5836  0.6226  2 Ti 1.89-2.08
O  0.4164  0.9838  0.6226  2 Ti 1.89-2.08
O  0.2324  0.3318  0.8787  2 Ti 1.83-1.95
O  0.4326  0.4164  0.3774  2 Ti 1.89-2.08
O  0.0995  0.7676  0.8787  2 Ti 1.83-1.95
O  0.0162  0.4326  0.6226  2 Ti 1.89-2.08
O  0.5836  0.0162  0.3774  2 Ti 1.89-2.08
O  0.7676  0.6682  0.1213  2 Ti 1.83-1.95
O  0.6682  0.9005  0.8787  2 Ti 1.83-1.95
O  0.3318  0.0995  0.1213  2 Ti 1.83-1.95
Na  0.3333  0.6667  0.1028  3 O 2.31
Na  0.0000  0.0000  0.3121  6 O 2.34-2.40
Na  0.6667  0.3333  0.8972  3 O 2.31
Na  0.0000  0.0000  0.6879  6 O 2.34-2.40
Ti  0.6667  0.3333  0.2176  3 O 1.83
Ti  0.3333  0.6667  0.4728  6 O 1.89-2.08
Ti  0.0000  0.0000  0.0000  6 O 1.95
Ti  0.3333  0.6667  0.7824  3 O 1.83
Ti  0.6667  0.3333  0.5272  6 O 1.89-2.08

---

- E_tot of number 1 (Na4Ti5O12)?
  -468.426 eV for the cell shown

---

What did the first record say?
Here is Na4Ti5O12 at its PBEsol-relaxed geometry from the Alexandria database. Energies are from SCAN.

Values from the calculation:
- E_tot: -468.426 eV for the cell shown
- Energy above the lowest structure with this stoichiometry: 0.0180 eV per atom
- Spin magnetization: 0.000 μB/atom
- DOS(E_F): 0.000 states/eV per atom
- Symmetry: No. 2
- Formation energy from raw total energies: -2.973 eV per atom

Unit cell a=5.8874 b=6.3648 c=13.2488 alpha=95.77 beta=96.37 gamma=90.02
With the nearest neighbours (Å) after each atom.
Sites, in units of the cell vectors:
Na  0.8438  0.5892  0.3751  6 O 2.32-2.49
Na  0.1562  0.4108  0.6249  6 O 2.32-2.49
Na  0.6544  0.3975  0.6129  6 O 2.37-2.52
Na  0.7009  0.6695  0.8022  5 O 2.28-2.41
Na  0.7800  0.4102  0.1200  5 O 2.36-2.40
Na  0.2991  0.3305  0.1978  5 O 2.28-2.41
Na  0.3456  0.6025  0.3871  6 O 2.37-2.52
Na  0.2200  0.5898  0.8800  5 O 2.36-2.40
O  0.5581  0.6006  0.2399  1 Ti 1.72
O  0.3982  0.7101  0.5893  2 Ti 1.91-1.92
O  0.0225  0.1227  0.0859  2 Ti 1.88-2.07
O  0.8174  0.9904  0.2698  3 Ti 1.92-2.01
O  0.1088  0.8869  0.4362  3 Ti 2.00-2.04
O  0.8912  0.1131  0.5638  3 Ti 2.00-2.04
O  0.1034  0.2899  0.4088  2 Ti 1.90-1.91
O  0.5204  0.1228  0.0858  2 Ti 1.88-2.07
O  0.4419  0.3994  0.7601  1 Ti 1.72
O  0.1826  0.0096  0.7302  3 Ti 1.92-2.01
O  0.2724  0.7747  0.0895  3 Ti 1.98
O  0.3911  0.1147  0.5646  3 Ti 1.96-2.05
O  0.6825  0.0041  0.7308  3 Ti 1.97-2.01
O  0.2273  0.2301  0.9088  3 Ti 1.96-1.98
O  0.8966  0.7101  0.5912  2 Ti 1.90-1.91
O  0.7727  0.7699  0.0912  3 Ti 1.96-1.98
O  0.0616  0.6009  0.2399  1 Ti 1.72
O  0.9775  0.8773  0.9141  2 Ti 1.88-2.07
O  0.4796  0.8772  0.9142  2 Ti 1.88-2.07
O  0.9384  0.3991  0.7601  1 Ti 1.72
O  0.7276  0.2253  0.9105  3 Ti 1.98
O  0.3175  0.9959  0.2692  3 Ti 1.97-2.01
O  0.6018  0.2899  0.4107  2 Ti 1.91-1.92
O  0.6089  0.8853  0.4354  3 Ti 1.96-2.05
Ti  0.9513  0.1600  0.8111  1 O 1.72
Ti  0.3528  0.1007  0.4155  6 O 1.90-2.05
Ti  0.7481  0.9807  0.9928  6 O 1.88-2.07
Ti  0.5457  0.8397  0.1890  1 O 1.72
Ti  0.1459  0.9010  0.5884  6 O 1.91-2.05
Ti  0.6472  0.8993  0.5845  6 O 1.90-2.05
Ti  0.4543  0.1603  0.8110  1 O 1.72
Ti  0.8541  0.0990  0.4116  6 O 1.91-2.05
Ti  0.0487  0.8400  0.1889  1 O 1.72
Ti  0.2519  0.0193  0.0072  6 O 1.88-2.07

---

- Look up the DOS(E_F) of the first one.
  0.000 states/eV per atom